DFT (PBE) results for an optimized crystal structure of Sr2MgIn4Ag3.

Lattice parameters (Å, degrees): 4.5741 4.5741 12.6114 90.00 90.00 90.00
Closest atoms and distances in Å follow each position.
Fractional positions:
1 Sr 0.0000 0.5000 0.2426  4 Ag 3.49, 8 In 3.55-3.82
2 Sr 0.5000 0.0000 0.7574  4 Ag 3.49, 8 In 3.55-3.82
3 Mg 0.0000 0.0000 0.5000  4 In 2.90, 4 Ag 3.23
4 In 0.0000 0.0000 0.0000  4 Ag 2.88
5 In 0.0000 0.5000 0.6420  3 Ag 2.76-2.90, 2 Mg 2.90
6 In 0.5000 0.0000 0.3580  3 Ag 2.76-2.90, 2 Mg 2.90
7 In 0.5000 0.5000 0.0000  4 Ag 2.88
8 Ag 0.0000 0.5000 0.8607  5 In 2.76-2.88
9 Ag 0.5000 0.0000 0.1393  5 In 2.76-2.88
10 Ag 0.5000 0.5000 0.5000  4 In 2.90, 4 Mg 3.23

Values from the calculation:
E: -2.7365 eV per atom
total magnetization: 0.000 μB per formula unit
E_form: -0.29 eV/atom
space group: P-4m2, No. 115
DOS at the Fermi energy: 3.98 states/eV/f.u.